w:
Rb2VCl7: relaxed, PBE-GGA.

```
Rb2VCl7
1.0
6.843 0.000 3.337
3.117 9.620 2.293
-0.234 -1.128 9.165
Rb Cl V
4 14 2
Direct
0.259 0.544 0.782
0.414 0.044 0.282
0.741 0.456 0.218
0.586 0.956 0.718
0.845 0.770 0.077
0.819 0.482 0.821
0.121 0.018 0.679
0.651 0.250 0.750
0.759 0.198 0.014
0.155 0.230 0.923
0.029 0.698 0.514
0.349 0.750 0.250
0.241 0.802 0.986
0.181 0.518 0.179
0.971 0.302 0.486
0.307 0.270 0.577
0.879 0.982 0.321
0.693 0.730 0.423
0.969 0.250 0.750
0.031 0.750 0.250
```

Summary:
As for the crystal system: monoclinic.



x:
Rb2VCl7: relaxed, PBE-GGA.

```
Rb2VCl7
1.0
-3.085 -7.472 0.455
3.007 -1.688 -7.325
3.811 -6.052 -1.516
Cl Rb V
7 2 1
Direct
0.793 0.793 0.000
0.500 0.500 0.000
0.756 0.756 0.487
0.793 0.207 0.000
0.207 0.207 0.000
0.207 0.793 0.000
0.244 0.244 0.513
0.250 0.750 0.500
0.750 0.250 0.500
0.000 0.000 0.000
```

Summary:
As for the crystal system: tetragonal.



Here are the energies relative to the best structure, in meV per atom: w 0; x 59.